Entry from OQMD via LeMat-Bulk: Rb2ZrInF6 after structural relaxation (PBE-GGA).

As for the magnetic moment: 4.00 Bohr magnetons per cell. As for the offset from the most stable computed form: 16.7 meV/atom. Its raw total energy is -5.113 eV/atom. As for the crystal system: cubic.

Unit cell a=9.0467 b=9.0467 c=9.0467 alpha=90.00 beta=90.00 gamma=90.00
Closest atoms and distances in Å follow each position.
Space group Fm-3m (No. 225)
Symmetry-distinct sites (fractional):
Rb1 0.2500 0.2500 0.2500  12 F 3.20
Zr1 0.0000 0.0000 0.0000  6 F 2.09
In1 0.0000 0.0000 0.5000  6 F 2.44
F1 0.0000 0.0000 0.2308  1 Zr 2.09